(1)
The following is a GGA-PBEsol calculation of crystalline Ba6Na2Nb2V2O17 at its relaxed geometry, from Alexandria.

Computed properties:
- E_form (uncorrected): -79.7 eV/f.u.
- Calculated volume: 884.26 Å³ per cell
- Magnetic moment: 0.00 Bohr magnetons per cell
- D(E_F): 0.00 states/eV/cell
- Mass density: 5.4 g cm⁻³
- Energy relative to the lowest polymorph listed for this composition: 0 meV/atom

Cell: 10.2083 5.8627 14.7751 Å, 90.00 90.11 90.00°
Closest atoms and distances in Å follow each position.
Space group C2 (No. 5)
Asymmetric unit:
Ba 0.0000 0.0000 0.0000 [2 per cell]  12 O 2.82-3.07
Ba 0.0000 0.0556 0.5000 [2 per cell]  8 O 2.75-2.87
Ba 0.1655 0.4987 0.8471 [4 per cell]  7 O 2.75-3.08
Ba 0.1692 0.5066 0.3146 [4 per cell]  7 O 2.63-2.94
Na 0.0011 0.0033 0.2500 [4 per cell]  6 O 2.25-2.40
Nb 0.1670 0.4995 0.0865 [4 per cell]  6 O 1.92-2.13
V 0.1649 0.5154 0.6043 [4 per cell]  4 O 1.70-1.72
O 0.0000 0.4860 0.0000 [2 per cell]  2 Nb 2.13
O 0.0741 0.7147 0.1614 [4 per cell]  1 Nb 1.93
O 0.0818 0.3002 0.6588 [4 per cell]  1 V 1.72
O 0.0928 0.7701 0.6334 [4 per cell]  1 V 1.72
O 0.1045 0.2442 0.1551 [4 per cell]  1 Nb 1.92
O 0.1607 0.4575 0.4916 [4 per cell]  1 V 1.70
O 0.1773 0.0155 0.3546 [4 per cell]  1 V 1.72
O 0.1765 0.0239 0.8413 [4 per cell]  1 Nb 1.92
O 0.2403 0.7640 0.0024 [4 per cell]  2 Nb 2.12-2.13

=====

(2)
The following is a GGA-PBEsol calculation of crystalline SmInAu at its relaxed geometry, from Alexandria.

Computed properties:
- Calculated volume: 205.98 Å³ per cell
- Magnetic moment: 0.00 Bohr magnetons per cell
- Energy relative to the elements: -0.7847 eV/atom
- D(E_F): 3.90 states/eV/cell
- Mass density: 11.2 g cm⁻³

Cell: 7.6777 7.6777 4.0348 Å, 90.00 90.00 120.00°
Closest atoms and distances in Å follow each position.
Space group P-62m (No. 189)
Asymmetric unit:
Sm 0.0000 0.5923 0.0000 [3 per cell]  5 Au 3.08-3.13, 6 In 3.27-3.40
In 0.0000 0.2565 0.5000 [3 per cell]  4 Au 2.82-2.90
Au 0.0000 0.0000 0.0000 [1 per cell]  6 In 2.82, 3 Sm 3.13
Au 0.3333 0.6667 0.5000 [2 per cell]  3 In 2.90, 6 Sm 3.08

=====

(3)
The following is a GGA-PBEsol calculation of crystalline Ta2CoAs at its relaxed geometry, from Alexandria.

Computed properties:
- Calculated volume: 240.91 Å³ per cell
- Magnetic moment: 0.03 Bohr magnetons per cell
- Energy relative to the elements: 0.2828 eV/atom
- D(E_F): 20.46 states/eV/cell
- Mass density: 13.7 g cm⁻³

Cell: 6.2223 6.2223 6.2223 Å, 90.00 90.00 90.00°
Closest atoms and distances in Å follow each position.
Space group F-43m (No. 216)
Asymmetric unit:
Ta 0.0000 0.0000 0.0000 [4 per cell]  4 Ta 2.69, 4 As 2.69
Ta 0.2500 0.2500 0.2500 [4 per cell]  4 Ta 2.69, 4 Co 2.69
Co 0.0000 0.0000 0.5000 [4 per cell]  4 Ta 2.69, 4 As 2.69
As 0.2500 0.2500 0.7500 [4 per cell]  4 Ta 2.69, 4 Co 2.69

=====

(4)
The following is a GGA-PBEsol calculation of crystalline Co2PH2 at its relaxed geometry, from Alexandria.

Computed properties:
- Calculated volume: 71.95 Å³ per cell
- Magnetic moment: 0.00 Bohr magnetons per cell
- D(E_F): 4.41 states/eV/cell
- Mass density: 7.0 g cm⁻³
- E_tot: -5.7206 eV per atom

Cell: 2.7560 2.7560 9.4726 Å, 90.00 90.00 90.00°
Closest atoms and distances in Å follow each position.
Space group I4/mmm (No. 139)
Asymmetric unit:
Co 0.0000 0.0000 0.1339 [4 per cell]  4 H 1.76
P 0.0000 0.0000 0.5000 [2 per cell]  8 Co 2.33
H 0.0000 0.5000 0.2500 [4 per cell]  4 Co 1.76, 4 H 1.95

=====

(5)
The following is a GGA-PBEsol calculation of crystalline Tl3WI at its relaxed geometry, from Alexandria.

Computed properties:
- E_form (uncorrected): 8.8 eV/f.u.
- Calculated volume: 230.11 Å³ per cell
- Magnetic moment: 4.84 Bohr magnetons per cell
- D(E_F): 2.04 states/eV/cell
- Mass density: 6.7 g cm⁻³

Cell: 6.1279 6.1279 6.1279 Å, 90.00 90.00 90.00°
Closest atoms and distances in Å follow each position.
Space group Pm-3m (No. 221)
Asymmetric unit:
Tl 0.0000 0.0000 0.5000 [3 per cell]  2 I 3.06
W 0.5000 0.5000 0.5000 [1 per cell]  12 Tl 4.33
I 0.0000 0.0000 0.0000 [1 per cell]  6 Tl 3.06

=====

(6)
The following is a GGA-PBEsol calculation of crystalline SrLiZn at its relaxed geometry, from Alexandria.

Computed properties:
- Calculated volume: 80.87 Å³ per cell
- Magnetic moment: 0.00 Bohr magnetons per cell
- Energy relative to the elements: -0.0603 eV/atom
- D(E_F): 2.07 states/eV/cell
- Mass density: 3.3 g cm⁻³
- Energy relative to the lowest polymorph listed for this composition: 0 meV/atom

Cell: 4.6824 4.6824 4.2591 Å, 90.00 90.00 120.00°
Closest atoms and distances in Å follow each position.
Space group P-6m2 (No. 187)
Asymmetric unit:
Sr 0.0000 0.0000 0.0000 [1 per cell]  6 Zn 3.44, 6 Li 3.44
Li 0.6667 0.3333 0.5000 [1 per cell]  3 Zn 2.70
Zn 0.3333 0.6667 0.5000 [1 per cell]  3 Li 2.70

=====

(7)
The following is a GGA-PBEsol calculation of crystalline Be2CuMo at its relaxed geometry, from Alexandria.

Computed properties:
- Calculated volume: 86.02 Å³ per cell
- Magnetic moment: 0.00 Bohr magnetons per cell
- Energy relative to the elements: 0.0682 eV/atom
- D(E_F): 3.89 states/eV/cell
- Mass density: 6.9 g cm⁻³
- Energy relative to the lowest polymorph listed for this composition: 0 meV/atom

Cell: 3.6057 2.5463 9.3688 Å, 90.00 90.00 90.00°
Closest atoms and distances in Å follow each position.
Space group Amm2 (No. 38)
Asymmetric unit:
Be 0.0000 0.0000 0.0000 [2 per cell]  2 Be 2.15, 4 Cu 2.36
Be 0.5000 0.0000 0.1245 [2 per cell]  2 Be 2.15, 2 Cu 2.37
Cu 0.5000 0.0000 0.4112 [2 per cell]  6 Be 2.36-2.37, 2 Cu 2.55
Mo 0.0000 0.0000 0.7378 [2 per cell]  7 Be 2.45-2.57, 2 Mo 2.55, 4 Cu 2.74

=====

(8)
The following is a GGA-PBEsol calculation of crystalline LiInRe2 at its relaxed geometry, from Alexandria.

Computed properties:
- Calculated volume: 60.33 Å³ per cell
- Magnetic moment: 0.00 Bohr magnetons per cell
- Energy relative to the elements: 0.6799 eV/atom
- D(E_F): 3.29 states/eV/cell
- Mass density: 13.6 g cm⁻³

Cell: 3.1714 3.1714 5.9986 Å, 90.00 90.00 90.00°
Closest atoms and distances in Å follow each position.
Space group P4/mmm (No. 123)
Asymmetric unit:
Li 0.0000 0.0000 0.0000 [1 per cell]  8 Re 2.53
In 0.0000 0.0000 0.5000 [1 per cell]  8 Re 2.90, 2 Li 3.00, 4 In 3.17
Re 0.5000 0.5000 0.1943 [2 per cell]  1 Re 2.33, 4 Li 2.53

=====

(9)
The following is a GGA-PBEsol calculation of crystalline PmPrIr2 at its relaxed geometry, from Alexandria.

Computed properties:
- Calculated volume: 341.45 Å³ per cell
- Magnetic moment: 0.00 Bohr magnetons per cell
- Energy relative to the elements: -0.4836 eV/atom
- D(E_F): 8.96 states/eV/cell
- Mass density: 13.0 g cm⁻³

Cell: 6.9895 6.9895 6.9895 Å, 90.00 90.00 90.00°
Closest atoms and distances in Å follow each position.
Space group Fm-3m (No. 225)
Asymmetric unit:
Pm 0.0000 0.0000 0.0000 [4 per cell]  8 Ir 3.03
Pr 0.0000 0.0000 0.5000 [4 per cell]  8 Ir 3.03
Ir 0.2500 0.2500 0.2500 [8 per cell]  4 Pr 3.03, 4 Pm 3.03

=====

(10)
The following is a GGA-PBEsol calculation of crystalline Ti2SnRh2 at its relaxed geometry, from Alexandria.

Computed properties:
- Calculated volume: 176.97 Å³ per cell
- Magnetic moment: 0.00 Bohr magnetons per cell
- Energy relative to the elements: -0.4303 eV/atom
- D(E_F): 4.02 states/eV/cell
- Mass density: 7.9 g cm⁻³

Cell: 4.1486 4.1486 10.2824 Å, 90.00 90.00 90.00°
Closest atoms and distances in Å follow each position.
Space group I4/mmm (No. 139)
Asymmetric unit:
Ti 0.0000 0.5000 0.2500 [4 per cell]  4 Rh 2.47
Sn 0.0000 0.0000 0.0000 [2 per cell]  8 Rh 3.18, 8 Ti 3.30
Rh 0.0000 0.0000 0.3798 [4 per cell]  4 Ti 2.47, 1 Rh 2.47

=====

(11)
The following is a GGA-PBEsol calculation of crystalline Ti2MoOsC at its relaxed geometry, from Alexandria.

Computed properties:
- Calculated volume: 100.21 Å³ per cell
- Magnetic moment: 0.00 Bohr magnetons per cell
- Energy relative to the elements: 2.0870 eV/atom
- D(E_F): 4.53 states/eV/cell
- Mass density: 6.5 g cm⁻³

Cell: 4.6527 4.6527 4.6290 Å, 90.00 90.00 90.00°
Closest atoms and distances in Å follow each position.
Space group P4/mmm (No. 123)
Asymmetric unit:
Ti 0.0000 0.5000 0.0000 [2 per cell]  2 Os 2.33
Mo 0.0000 0.0000 0.5000 [1 per cell]  2 Os 2.31
Os 0.0000 0.0000 0.0000 [1 per cell]  2 Mo 2.31, 4 Ti 2.33
C 0.5000 0.5000 0.5000 [1 per cell]  8 Ti 3.28, 4 Mo 3.29

=====

(12)
The following is a GGA-PBEsol calculation of crystalline Sc3Nb at its relaxed geometry, from Alexandria.

Computed properties:
- Calculated volume: 168.35 Å³ per cell
- Magnetic moment: 0.00 Bohr magnetons per cell
- Energy relative to the elements: 0.1028 eV/atom
- D(E_F): 6.66 states/eV/cell
- Mass density: 4.5 g cm⁻³

Cell: 4.3836 4.3836 8.7613 Å, 90.00 90.00 90.00°
Closest atoms and distances in Å follow each position.
Space group I4/mmm (No. 139)
Asymmetric unit:
Sc 0.0000 0.0000 0.0000 [2 per cell]  8 Sc 3.10, 4 Nb 3.10
Sc 0.0000 0.5000 0.2500 [4 per cell]  4 Nb 3.10, 8 Sc 3.10
Nb 0.0000 0.0000 0.5000 [2 per cell]  12 Sc 3.10

=====

(13)
The following is a GGA-PBEsol calculation of crystalline LiPbI2 at its relaxed geometry, from Alexandria.

Computed properties:
- E_form (uncorrected): -2.1 eV/f.u.
- Calculated volume: 512.20 Å³ per cell
- Magnetic moment: 0.98 Bohr magnetons per cell
- D(E_F): 12.25 states/eV/cell
- Mass density: 6.1 g cm⁻³

Cell: 8.0437 8.0437 7.9164 Å, 90.00 90.00 90.00°
Closest atoms and distances in Å follow each position.
Space group I-42d (No. 122)
Asymmetric unit:
Li 0.0000 0.0000 0.0000 [4 per cell]  4 I 2.75
Pb 0.0000 0.0000 0.5000 [4 per cell]  4 I 3.31
I 0.1971 0.7500 0.1250 [8 per cell]  2 Li 2.75

=====

(14)
The following is a GGA-PBEsol calculation of crystalline CaTaTe at its relaxed geometry, from Alexandria.

Computed properties:
- E_form (uncorrected): -0.3 eV/f.u.
- Calculated volume: 143.75 Å³ per cell
- Magnetic moment: 0.00 Bohr magnetons per cell
- D(E_F): 5.86 states/eV/cell
- Mass density: 8.1 g cm⁻³

Cell: 3.5521 3.5521 11.3925 Å, 90.00 90.00 90.00°
Closest atoms and distances in Å follow each position.
Space group I4mm (No. 107)
Asymmetric unit:
Ca 0.0000 0.0000 0.0000 [2 per cell]  5 Ta 3.31-3.54, 5 Te 3.39-3.41, 4 Ca 3.55
Ta 0.0000 0.0000 0.3104 [2 per cell]  4 Te 2.80
Te 0.0000 0.0000 0.7026 [2 per cell]  4 Ta 2.80

=====

(15)
The following is a GGA-PBEsol calculation of crystalline KMnMo2 at its relaxed geometry, from Alexandria.

Computed properties:
- Calculated volume: 64.61 Å³ per cell
- Magnetic moment: 1.74 Bohr magnetons per cell
- Energy relative to the elements: 1.7824 eV/atom
- D(E_F): 4.36 states/eV/cell
- Mass density: 7.3 g cm⁻³
- Energy relative to the lowest polymorph listed for this composition: 884 meV/atom

Cell: 4.9519 4.9519 2.6347 Å, 90.00 90.00 90.00°
Closest atoms and distances in Å follow each position.
Space group P4/mmm (No. 123)
Asymmetric unit:
K 0.0000 0.0000 0.0000 [1 per cell]  2 K 2.63, 8 Mo 2.80
Mn 0.5000 0.5000 0.0000 [1 per cell]  2 Mn 2.63, 8 Mo 2.80
Mo 0.0000 0.5000 0.5000 [2 per cell]  2 Mo 2.63, 4 Mn 2.80, 4 K 2.80

=====

(16)
The following is a GGA-PBEsol calculation of crystalline MnZn2Os at its relaxed geometry, from Alexandria.

Computed properties:
- Calculated volume: 103.55 Å³ per cell
- Magnetic moment: 4.37 Bohr magnetons per cell
- Energy relative to the elements: 0.1980 eV/atom
- D(E_F): 7.42 states/eV/cell
- Mass density: 12.1 g cm⁻³
- Energy relative to the lowest polymorph listed for this composition: 174 meV/atom

Cell: 3.8197 3.8197 7.0972 Å, 90.00 90.00 90.00°
Closest atoms and distances in Å follow each position.
Space group I-4m2 (No. 119)
Asymmetric unit:
Mn 0.0000 0.0000 0.0000 [2 per cell]  4 Os 2.61, 8 Zn 2.61-2.70
Zn 0.0000 0.0000 0.5000 [2 per cell]  4 Os 2.61, 4 Zn 2.61, 4 Mn 2.70
Zn 0.0000 0.5000 0.7500 [2 per cell]  4 Mn 2.61, 4 Zn 2.61, 4 Os 2.70
Os 0.0000 0.5000 0.2500 [2 per cell]  4 Mn 2.61, 8 Zn 2.61-2.70

=====

(17)
The following is a GGA-PBEsol calculation of crystalline Tl2RhBr at its relaxed geometry, from Alexandria.

Computed properties:
- E_form (uncorrected): 1.3 eV/f.u.
- Calculated volume: 182.68 Å³ per cell
- Magnetic moment: 0.00 Bohr magnetons per cell
- D(E_F): 4.95 states/eV/cell
- Mass density: 10.8 g cm⁻³
- Energy relative to the lowest polymorph listed for this composition: 320 meV/atom

Cell: 4.1992 4.1992 10.3601 Å, 90.00 90.00 90.00°
Closest atoms and distances in Å follow each position.
Space group I-4m2 (No. 119)
Asymmetric unit:
Tl 0.0000 0.0000 0.0000 [2 per cell]  4 Br 2.97
Tl 0.0000 0.5000 0.2500 [2 per cell]  4 Rh 2.97
Rh 0.0000 0.5000 0.7500 [2 per cell]  4 Tl 2.97
Br 0.0000 0.0000 0.5000 [2 per cell]  4 Tl 2.97

=====

(18)
The following is a GGA-PBEsol calculation of crystalline ReNi4Mo at its relaxed geometry, from Alexandria.

Computed properties:
- Calculated volume: 278.34 Å³ per cell
- Magnetic moment: 3.04 Bohr magnetons per cell
- Energy relative to the elements: -0.0308 eV/atom
- D(E_F): 25.73 states/eV/cell
- Mass density: 12.3 g cm⁻³

Cell: 6.5292 6.5292 6.5292 Å, 90.00 90.00 90.00°
Closest atoms and distances in Å follow each position.
Space group F-43m (No. 216)
Asymmetric unit:
Re 0.0000 0.0000 0.0000 [4 per cell]  12 Ni 2.71, 4 Mo 2.83
Ni 0.1252 0.1252 0.3748 [16 per cell]  6 Ni 2.31
Mo 0.2500 0.2500 0.7500 [4 per cell]  12 Ni 2.71, 4 Re 2.83

=====

(19)
The following is a GGA-PBEsol calculation of crystalline CsTeF2 at its relaxed geometry, from Alexandria.

Computed properties:
- E_form (uncorrected): -5.6 eV/f.u.
- Calculated volume: 385.66 Å³ per cell
- Magnetic moment: 0.01 Bohr magnetons per cell
- D(E_F): 13.38 states/eV/cell
- Mass density: 5.1 g cm⁻³

Cell: 7.1920 7.1920 7.4561 Å, 90.00 90.00 90.00°
Closest atoms and distances in Å follow each position.
Space group I-42d (No. 122)
Asymmetric unit:
Cs 0.0000 0.0000 0.0000 [4 per cell]  4 F 2.99
Te 0.0000 0.0000 0.5000 [4 per cell]  4 F 2.46
F 0.1945 0.7500 0.6250 [8 per cell]  2 Te 2.46

=====

(20)
The following is a GGA-PBEsol calculation of crystalline NaCSe2 at its relaxed geometry, from Alexandria.

Computed properties:
- E_form (uncorrected): 1.7 eV/f.u.
- Calculated volume: 322.65 Å³ per cell
- Magnetic moment: 0.00 Bohr magnetons per cell
- D(E_F): 11.37 states/eV/cell
- Mass density: 4.0 g cm⁻³

Cell: 6.3725 6.3725 7.9453 Å, 90.00 90.00 90.00°
Closest atoms and distances in Å follow each position.
Space group I-42d (No. 122)
Asymmetric unit:
Na 0.0000 0.0000 0.0000 [4 per cell]  4 Se 2.97
C 0.0000 0.0000 0.5000 [4 per cell]  4 Se 2.08
Se 0.1395 0.2500 0.6250 [8 per cell]  2 C 2.08